w:
{"formula": "LiCaAg3", "functional": "PBE", "state": "optimized geometry", "sg": "Pm-3m, No. 221", "magnetic_moment_mub_per_cell": 0.00, "mass_density_g_cm3": 5.78, "cell": [[4.739, 0.000, 0.000], [0.000, 4.739, 0.000], [0.000, 0.000, 4.739]], "species": ["Li", "Ca", "Ag", "Ag", "Ag"], "fractional_positions": [[0.000, 0.000, 0.000], [0.500, 0.500, 0.500], [0.000, 0.000, 0.500], [0.000, 0.500, 0.000], [0.500, 0.000, 0.000]]}

x:
{"formula": "LiCaAg3", "functional": "PBE", "state": "optimized geometry", "sg": "Pm-3m, No. 221", "magnetic_moment_mub_per_cell": 0.00, "mass_density_g_cm3": 3.55, "cell": [[5.576, 0.000, 0.000], [0.000, 5.576, 0.000], [0.000, 0.000, 5.576]], "species": ["Li", "Ca", "Ag", "Ag", "Ag"], "fractional_positions": [[0.000, 0.000, 0.000], [0.500, 0.500, 0.500], [0.000, 0.500, 0.500], [0.500, 0.000, 0.500], [0.500, 0.500, 0.000]]}

Short version: w, x, most stable first.

w:
{"formula": "LiCaAg3", "functional": "PBE", "state": "optimized geometry", "sg": "I4mm, No. 107", "magnetic_moment_mub_per_cell": 0.00, "mass_density_g_cm3": 5.72, "cell": [[-2.169, 2.169, 5.718], [2.169, -2.169, 5.718], [2.169, 2.169, -5.718]], "species": ["Li", "Ca", "Ag", "Ag", "Ag"], "fractional_positions": [[0.000, 0.000, 0.000], [0.626, 0.626, 0.000], [0.220, 0.220, 0.000], [0.376, 0.876, 0.500], [0.876, 0.376, 0.500]]}

x:
{"formula": "LiCaAg3", "functional": "PBE", "state": "optimized geometry", "sg": "P2_1/c, No. 14", "magnetic_moment_mub_per_cell": 0.00, "mass_density_g_cm3": 5.88, "cell": [[8.965, 0.000, 0.000], [0.000, 5.588, 0.000], [-1.498, 0.000, 8.354]], "species": ["Li", "Li", "Li", "Li", "Ca", "Ca", "Ca", "Ca", "Ag", "Ag", "Ag", "Ag", "Ag", "Ag", "Ag", "Ag", "Ag", "Ag", "Ag", "Ag"], "fractional_positions": [[0.057, 0.160, 0.340], [0.057, 0.340, 0.840], [0.943, 0.660, 0.160], [0.943, 0.840, 0.660], [0.370, 0.625, 0.786], [0.370, 0.875, 0.286], [0.630, 0.125, 0.714], [0.630, 0.375, 0.214], [0.110, 0.656, 0.454], [0.110, 0.844, 0.954], [0.206, 0.090, 0.635], [0.206, 0.410, 0.135], [0.370, 0.133, 0.948], [0.370, 0.367, 0.448], [0.630, 0.633, 0.552], [0.630, 0.867, 0.052], [0.794, 0.590, 0.865], [0.794, 0.910, 0.365], [0.890, 0.156, 0.046], [0.890, 0.344, 0.546]]}

Short version: x, w, most stable first.

w:
{"formula": "LiCa4Ag3", "functional": "PBE", "state": "optimized geometry", "sg": "Pmm2, No. 25", "magnetic_moment_mub_per_cell": 0.00, "mass_density_g_cm3": 3.65, "cell": [[4.262, 0.000, 0.000], [0.000, 4.521, 0.000], [0.000, 0.000, 11.599]], "species": ["Li", "Ca", "Ca", "Ca", "Ca", "Ag", "Ag", "Ag"], "fractional_positions": [[0.000, 0.000, 0.000], [0.000, 0.000, 0.303], [0.000, 0.500, 0.580], [0.500, 0.000, 0.788], [0.500, 0.500, 0.085], [0.000, 0.500, 0.869], [0.500, 0.000, 0.515], [0.500, 0.500, 0.362]]}

x:
{"formula": "LiCa4Ag3", "functional": "PBE", "state": "optimized geometry", "sg": "C2/m, No. 12", "magnetic_moment_mub_per_cell": 0.00, "mass_density_g_cm3": 3.85, "cell": [[7.986, -2.649, 0.000], [7.986, 2.649, 0.000], [-1.753, 0.000, 5.001]], "species": ["Li", "Ca", "Ca", "Ca", "Ca", "Ag", "Ag", "Ag"], "fractional_positions": [[0.000, 0.000, 0.000], [0.128, 0.128, 0.628], [0.372, 0.372, 0.872], [0.628, 0.628, 0.128], [0.872, 0.872, 0.372], [0.245, 0.245, 0.244], [0.500, 0.500, 0.500], [0.755, 0.755, 0.756]]}

Short version: w, x, most stable first.

w:
{"formula": "Li2CaAg", "functional": "PBE", "state": "optimized geometry", "sg": "C2/m, No. 12", "magnetic_moment_mub_per_cell": 0.00, "mass_density_g_cm3": 2.82, "cell": [[3.016, -5.332, 0.000], [3.016, 5.332, 0.000], [-1.955, 0.000, 2.958]], "species": ["Li", "Li", "Ca", "Ag"], "fractional_positions": [[0.000, 0.500, 0.000], [0.500, 0.000, 0.000], [0.000, 0.000, 0.500], [0.500, 0.500, 0.500]]}

x:
{"formula": "Li2CaAg", "functional": "PBE", "state": "optimized geometry", "sg": "P4/mmm, No. 123", "magnetic_moment_mub_per_cell": 0.00, "mass_density_g_cm3": 2.87, "cell": [[4.352, 0.000, 0.000], [0.000, 4.352, 0.000], [0.000, 0.000, 4.936]], "species": ["Li", "Li", "Ca", "Ag"], "fractional_positions": [[0.000, 0.500, 0.000], [0.500, 0.000, 0.000], [0.000, 0.000, 0.500], [0.500, 0.500, 0.500]]}

y:
{"formula": "Li2CaAg", "functional": "PBE", "state": "optimized geometry", "sg": "P2_1/m, No. 11", "magnetic_moment_mub_per_cell": 0.00, "mass_density_g_cm3": 2.87, "cell": [[4.403, 0.000, 0.000], [0.000, 7.852, 0.000], [-2.179, 0.000, 5.413]], "species": ["Li", "Li", "Li", "Li", "Ca", "Ca", "Ag", "Ag"], "fractional_positions": [[0.153, 0.058, 0.307], [0.153, 0.442, 0.307], [0.847, 0.558, 0.693], [0.847, 0.942, 0.693], [0.436, 0.250, 0.874], [0.564, 0.750, 0.126], [0.277, 0.750, 0.554], [0.723, 0.250, 0.446]]}

z:
{"formula": "Li2CaAg", "functional": "PBE", "state": "optimized geometry", "sg": "Cm, No. 8", "magnetic_moment_mub_per_cell": 0.00, "mass_density_g_cm3": 2.85, "cell": [[3.976, -2.297, 0.000], [3.976, 2.297, 0.000], [-2.672, 0.000, 5.166]], "species": ["Li", "Li", "Ca", "Ag"], "fractional_positions": [[0.000, 0.000, 0.000], [0.723, 0.723, 0.168], [0.206, 0.206, 0.617], [0.415, 0.415, 0.244]]}

Short version: y, z, x, w, most stable first.

w:
{"formula": "Li2CaAg", "functional": "PBE", "state": "optimized geometry", "sg": "P2_1/c, No. 14", "magnetic_moment_mub_per_cell": 0.00, "mass_density_g_cm3": 2.94, "cell": [[6.532, 0.000, 0.000], [0.000, 7.412, 0.000], [-6.498, 0.000, 7.541]], "species": ["Li", "Li", "Li", "Li", "Li", "Li", "Li", "Li", "Ca", "Ca", "Ca", "Ca", "Ag", "Ag", "Ag", "Ag"], "fractional_positions": [[0.002, 0.120, 0.100], [0.002, 0.380, 0.600], [0.295, 0.614, 0.891], [0.295, 0.886, 0.391], [0.705, 0.114, 0.609], [0.705, 0.386, 0.109], [0.998, 0.620, 0.400], [0.998, 0.880, 0.900], [0.348, 0.502, 0.249], [0.348, 0.998, 0.749], [0.652, 0.002, 0.251], [0.652, 0.498, 0.751], [0.178, 0.250, 0.425], [0.178, 0.250, 0.925], [0.822, 0.750, 0.075], [0.822, 0.750, 0.575]]}

x:
{"formula": "Li2CaAg", "functional": "PBE", "state": "optimized geometry", "sg": "P2/m, No. 10", "magnetic_moment_mub_per_cell": 0.00, "mass_density_g_cm3": 2.87, "cell": [[3.495, 0.000, 0.000], [0.000, 5.018, 0.000], [-0.574, 0.000, 5.345]], "species": ["Li", "Li", "Ca", "Ag"], "fractional_positions": [[0.189, 0.000, 0.292], [0.811, 0.000, 0.708], [0.500, 0.500, 0.000], [0.000, 0.500, 0.500]]}

Short version: w, x, most stable first.

w:
{"formula": "Li2CaAg", "functional": "PBE", "state": "optimized geometry", "sg": "I-42d, No. 122", "magnetic_moment_mub_per_cell": 0.00, "mass_density_g_cm3": 2.78, "cell": [[-2.138, 2.138, 10.555], [2.138, -2.138, 10.555], [2.138, 2.138, -10.555]], "species": ["Li", "Li", "Li", "Li", "Ca", "Ca", "Ag", "Ag"], "fractional_positions": [[0.065, 0.625, 0.940], [0.375, 0.315, 0.440], [0.685, 0.125, 0.060], [0.875, 0.935, 0.560], [0.250, 0.750, 0.500], [0.500, 0.500, 0.000], [0.000, 0.000, 0.000], [0.750, 0.250, 0.500]]}

x:
{"formula": "Li2CaAg", "functional": "PBE", "state": "optimized geometry", "sg": "Fm-3m, No. 225", "magnetic_moment_mub_per_cell": 0.00, "mass_density_g_cm3": 3.15, "cell": [[0.000, 3.494, 3.494], [3.494, 0.000, 3.494], [3.494, 3.494, 0.000]], "species": ["Li", "Li", "Ca", "Ag"], "fractional_positions": [[0.250, 0.250, 0.250], [0.750, 0.750, 0.750], [0.000, 0.000, 0.000], [0.500, 0.500, 0.500]]}

y:
{"formula": "Li2CaAg", "functional": "PBE", "state": "optimized geometry", "sg": "Pmm2, No. 25", "magnetic_moment_mub_per_cell": 0.00, "mass_density_g_cm3": 2.93, "cell": [[3.600, 0.000, 0.000], [0.000, 3.647, 0.000], [0.000, 0.000, 6.985]], "species": ["Li", "Li", "Ca", "Ag"], "fractional_positions": [[0.000, 0.000, 0.000], [0.500, 0.500, 0.208], [0.500, 0.500, 0.666], [0.000, 0.000, 0.396]]}

z:
{"formula": "Li2CaAg", "functional": "PBE", "state": "optimized geometry", "sg": "Pmmm, No. 47", "magnetic_moment_mub_per_cell": 0.00, "mass_density_g_cm3": 3.01, "cell": [[3.652, 0.000, 0.000], [0.000, 3.668, 0.000], [0.000, 0.000, 6.658]], "species": ["Li", "Li", "Ca", "Ag"], "fractional_positions": [[0.000, 0.000, 0.188], [0.000, 0.000, 0.812], [0.500, 0.500, 0.500], [0.500, 0.500, 0.000]]}

Short version: y, x, z, w, most stable first.

w:
{"formula": "Li2CaAg", "functional": "PBE", "state": "optimized geometry", "sg": "R-3m, No. 166", "magnetic_moment_mub_per_cell": 0.00, "mass_density_g_cm3": 2.66, "cell": [[1.802, 1.041, 8.992], [-1.802, 1.041, 8.992], [0.000, -2.081, 8.992]], "species": ["Li", "Li", "Ca", "Ag"], "fractional_positions": [[0.230, 0.230, 0.230], [0.770, 0.770, 0.770], [0.000, 0.000, 0.000], [0.500, 0.500, 0.500]]}

x:
{"formula": "Li2CaAg", "functional": "PBE", "state": "optimized geometry", "sg": "C2/m, No. 12", "magnetic_moment_mub_per_cell": 0.00, "mass_density_g_cm3": 2.93, "cell": [[5.442, -1.854, 0.000], [5.442, 1.854, 0.000], [-2.099, 0.000, 4.549]], "species": ["Li", "Li", "Ca", "Ag"], "fractional_positions": [[0.216, 0.216, 0.207], [0.784, 0.784, 0.793], [0.000, 0.000, 0.500], [0.500, 0.500, 0.000]]}

Short version: x, w, most stable first.

w:
{"formula": "Li2CaAg2", "functional": "PBE", "state": "optimized geometry", "sg": "I4/mmm, No. 139", "magnetic_moment_mub_per_cell": 0.00, "mass_density_g_cm3": 4.11, "cell": [[-2.064, 2.064, 6.397], [2.064, -2.064, 6.397], [2.064, 2.064, -6.397]], "species": ["Li", "Li", "Ca", "Ag", "Ag"], "fractional_positions": [[0.250, 0.750, 0.500], [0.750, 0.250, 0.500], [0.000, 0.000, 0.000], [0.391, 0.391, 0.000], [0.609, 0.609, 0.000]]}

x:
{"formula": "Li2CaAg2", "functional": "PBE", "state": "optimized geometry", "sg": "P4/mbm, No. 127", "magnetic_moment_mub_per_cell": 0.00, "mass_density_g_cm3": 4.37, "cell": [[7.936, 0.000, 0.000], [0.000, 7.936, 0.000], [0.000, 0.000, 3.254]], "species": ["Li", "Li", "Li", "Li", "Ca", "Ca", "Ag", "Ag", "Ag", "Ag"], "fractional_positions": [[0.148, 0.352, 0.000], [0.352, 0.852, 0.000], [0.648, 0.148, 0.000], [0.852, 0.648, 0.000], [0.000, 0.000, 0.500], [0.500, 0.500, 0.500], [0.139, 0.639, 0.500], [0.361, 0.139, 0.500], [0.639, 0.861, 0.500], [0.861, 0.361, 0.500]]}

y:
{"formula": "Li2CaAg2", "functional": "PBE", "state": "optimized geometry", "sg": "P4/mmm, No. 123", "magnetic_moment_mub_per_cell": 0.00, "mass_density_g_cm3": 4.12, "cell": [[4.188, 0.000, 0.000], [0.000, 4.188, 0.000], [0.000, 0.000, 6.196]], "species": ["Li", "Li", "Ca", "Ag", "Ag"], "fractional_positions": [[0.000, 0.500, 0.000], [0.500, 0.000, 0.000], [0.000, 0.000, 0.500], [0.500, 0.500, 0.274], [0.500, 0.500, 0.726]]}

z:
{"formula": "Li2CaAg2", "functional": "PBE", "state": "optimized geometry", "sg": "I4/mmm, No. 139", "magnetic_moment_mub_per_cell": 0.00, "mass_density_g_cm3": 4.19, "cell": [[-2.374, 2.374, 4.737], [2.374, -2.374, 4.737], [2.374, 2.374, -4.737]], "species": ["Li", "Li", "Ca", "Ag", "Ag"], "fractional_positions": [[0.139, 0.139, 0.000], [0.861, 0.861, 0.000], [0.500, 0.500, 0.000], [0.250, 0.750, 0.500], [0.750, 0.250, 0.500]]}

Short version: y, w, z, x, most stable first.

w:
{"formula": "Li5Ca2Ag4", "functional": "PBE", "state": "optimized geometry", "sg": "Fmmm, No. 69", "magnetic_moment_mub_per_cell": 0.00, "mass_density_g_cm3": 3.87, "cell": [[0.000, 4.673, 8.834], [2.841, 0.000, 8.834], [2.841, 4.673, 0.000]], "species": ["Li", "Li", "Li", "Li", "Li", "Ca", "Ca", "Ag", "Ag", "Ag", "Ag"], "fractional_positions": [[0.000, 0.000, 0.000], [0.000, 0.000, 0.500], [0.250, 0.250, 0.250], [0.500, 0.500, 0.000], [0.750, 0.750, 0.750], [0.367, 0.367, 0.633], [0.633, 0.633, 0.367], [0.031, 0.713, 0.287], [0.287, 0.969, 0.031], [0.713, 0.031, 0.969], [0.969, 0.287, 0.713]]}

x:
{"formula": "Li5Ca2Ag4", "functional": "PBE", "state": "optimized geometry", "sg": "Immm, No. 71", "magnetic_moment_mub_per_cell": 0.00, "mass_density_g_cm3": 3.87, "cell": [[-2.793, 4.481, 4.681], [2.793, -4.481, 4.681], [2.793, 4.481, -4.681]], "species": ["Li", "Li", "Li", "Li", "Li", "Ca", "Ca", "Ag", "Ag", "Ag", "Ag"], "fractional_positions": [[0.000, 0.000, 0.000], [0.313, 0.252, 0.564], [0.313, 0.748, 0.061], [0.687, 0.252, 0.939], [0.687, 0.748, 0.436], [0.212, 0.712, 0.500], [0.788, 0.288, 0.500], [0.072, 0.238, 0.834], [0.404, 0.238, 0.166], [0.596, 0.762, 0.834], [0.928, 0.762, 0.166]]}

Short version: x, w, most stable first.